An optimized crystal structure of Mg2BeBr, computed with PBE.

Cell lengths 3.3976, 3.3976, 7.9932 Å; angles 90.00, 90.00, 90.00 degrees
With the nearest neighbours (Å) after each atom.
Fractional coordinates of all 4 atoms:
Mg 0.0000 0.0000 0.0000  1 Be 2.44
Mg 0.5000 0.5000 0.4373  4 Be 2.62
Be 0.0000 0.0000 0.3056  5 Mg 2.44-2.62
Br 0.5000 0.5000 0.8058  5 Mg 2.86-2.94

Calculated values
- Relative energy among the computed polymorphs: 0.54 eV/f.u.
- N(E_F): 0.61 states/eV/f.u.
- E: -2.1359 eV per atom
- Crystal system: tetragonal
- Symmetry: No. 99
- Formation energy without anion corrections: 0.011 eV/atom